First-principles (PBE-GGA) data for a relaxed AlFeSCl crystal, as listed in the Alexandria database.

**Spin magnetization**: 0.00 μB/f.u.
**D(E_F)**: 0.017 states/eV per atom
**E_form (uncorrected)**: -575 meV per atom
**Density**: 3.47 g/cm³
**Relative energy among the computed polymorphs**: 0.0 meV per atom

Structure (CIF):
```
data_AlFeSCl
_chemical_formula_sum 'Al2 Fe2 S2 Cl2'
_cell_length_a 5.3524
_cell_length_b 3.0902
_cell_length_c 8.8758
_cell_angle_alpha 90.00
_cell_angle_beta 101.73
_cell_angle_gamma 90.00
_space_group_name_H-M_alt 'C 1 m 1'
_space_group_IT_number 8
loop_
_space_group_symop_operation_xyz
'x,y,z'
'x,-y,z'
'x+1/2,y+1/2,z'
'x+1/2,-y+1/2,z'
loop_
_atom_site_label
_atom_site_fract_x
_atom_site_fract_y
_atom_site_fract_z
Al1 0.0000 0.0000 0.0000
Fe1 0.4032 0.0000 0.2081
S1 0.1189 0.0000 0.3533
Cl1 0.1010 0.5000 0.8054
```